Hf2AsO4 | PBE-GGA | optimized geometry

The structure belongs to space group Fd-3m (No. 227, origin choice 2); the cell edges are 9.362, 9.362 and 9.362 Å and the angles 90.00°, 90.00° and 90.00°. The inequivalent atoms are Hf at (0.000, 0.000, 0.000), As at (0.125, 0.125, 0.625) and O at (0.026, 0.026, 0.224).

The total magnetization is 0.005 μB/atom. The total energy comes out at -8.49 eV per atom.